Entry 1:
# MgAsRu | Alexandria | PBE | optimized geometry
# Volume (Å³/atom): 17.2
# E_form (eV per atom): 0.07
# E_tot (eV/atom): -5.108
# DOS(E_F) (states/eV per cell): 1.828
# Total magnetization (μB per cell): 0.00
data_MgAsRu
_space_group_name_H-M_alt 'P 1'
_space_group_IT_number 1
_space_group_name_Hall 'P 1'
_cell_length_a 6.886
_cell_length_b 6.600
_cell_length_c 2.987
_cell_angle_alpha 82.62
_cell_angle_beta 71.90
_cell_angle_gamma 25.48
loop_
_atom_site_label
_atom_site_fract_x
_atom_site_fract_y
_atom_site_fract_z
_atom_site_occupancy
Mg1 0.000 0.000 0.000 1
As1 0.309 0.309 0.691 1
Ru1 0.668 0.668 0.332 1

---

Entry 2:
# TbGa2Ni5Au | Alexandria | PBE | optimized geometry
# Volume (Å³/atom): 14.8
# E_form (eV per atom): -0.12
# E_tot (eV/atom): -4.885
# DOS(E_F) (states/eV per cell): 6.257
# Total magnetization (μB per cell): 0.00
data_TbGa2Ni5Au
_space_group_name_H-M_alt 'P 1'
_space_group_IT_number 1
_space_group_name_Hall 'P 1'
_cell_length_a 3.789
_cell_length_b 3.789
_cell_length_c 9.288
_cell_angle_alpha 90.00
_cell_angle_beta 90.00
_cell_angle_gamma 90.00
loop_
_atom_site_label
_atom_site_fract_x
_atom_site_fract_y
_atom_site_fract_z
_atom_site_occupancy
Tb1 0.000 0.000 0.000 1
Ga1 0.500 0.500 0.367 1
Ga2 0.500 0.500 0.633 1
Ni1 0.000 0.500 0.216 1
Ni2 0.000 0.500 0.784 1
Ni3 0.500 0.000 0.216 1
Ni4 0.500 0.000 0.784 1
Ni5 0.500 0.500 0.000 1
Au1 0.000 0.000 0.500 1

---

Entry 3:
# CeGa2Pd3 | Alexandria | PBE | optimized geometry
# Volume (Å³/atom): 18.4
# E_form (eV per atom): -0.75
# E_tot (eV/atom): -5.340
# DOS(E_F) (states/eV per cell): 21.068
# Total magnetization (μB per cell): 2.05
data_CeGa2Pd3
_space_group_name_H-M_alt 'P 1'
_space_group_IT_number 1
_space_group_name_Hall 'P 1'
_cell_length_a 8.703
_cell_length_b 8.703
_cell_length_c 10.022
_cell_angle_alpha 106.48
_cell_angle_beta 106.48
_cell_angle_gamma 27.06
loop_
_atom_site_label
_atom_site_fract_x
_atom_site_fract_y
_atom_site_fract_z
_atom_site_occupancy
Ce1 0.000 0.000 0.000 1
Ce2 0.165 0.165 0.706 1
Ce3 0.835 0.835 0.294 1
Ga1 0.194 0.194 0.126 1
Ga2 0.362 0.362 0.546 1
Ga3 0.459 0.459 0.225 1
Ga4 0.541 0.541 0.775 1
Ga5 0.638 0.638 0.454 1
Ga6 0.806 0.806 0.874 1
Pd1 0.043 0.043 0.334 1
Pd2 0.217 0.217 0.392 1
Pd3 0.321 0.321 0.039 1
Pd4 0.386 0.386 0.808 1
Pd5 0.500 0.500 0.500 1
Pd6 0.614 0.614 0.192 1
Pd7 0.679 0.679 0.961 1
Pd8 0.783 0.783 0.608 1
Pd9 0.957 0.957 0.666 1